# 1
## MgZr3 (PBE)

Data for a relaxed structure of MgZr3.

a b c (Å): 3.131 5.247 5.574
angles (deg): 90.00 90.00 90.00
Fractional positions:
Mg 0.000 0.000 0.000
Zr 0.000 0.500 0.663
Zr 0.500 0.000 0.510
Zr 0.500 0.500 0.171

Output
**Energy**: -27.00 eV/cell
**Space-group type**: Pmm2



# 2
## MgZr2 (PBE)

Data for a relaxed structure of MgZr2.

a b c (Å): 15.012 15.012 15.012
angles (deg): 168.33 168.33 16.53
Fractional positions:
Mg 0.375 0.625 0.750
Mg 0.625 0.375 0.250
Zr 0.043 0.793 0.250
Zr 0.207 0.957 0.250
Zr 0.793 0.043 0.750
Zr 0.957 0.207 0.750

Output
**Energy**: -36.19 eV/cell
**Space-group type**: I4_1/amd



# 3
## MgZr3 (PBE)

Data for a relaxed structure of MgZr3.

a b c (Å): 6.024 6.024 6.024
angles (deg): 117.39 117.39 117.39
Fractional positions:
Mg 0.000 0.000 0.000
Zr 0.000 0.500 0.500
Zr 0.500 0.000 0.500
Zr 0.500 0.500 0.000

Output
**Energy**: -26.78 eV/cell
**Space-group type**: R-3m



# 4
## MgZr3 (PBE)

Data for a relaxed structure of MgZr3.

a b c (Å): 3.188 3.188 10.555
angles (deg): 90.00 90.00 120.00
Fractional positions:
Mg 0.000 0.000 0.000
Zr 0.000 0.000 0.500
Zr 0.667 0.333 0.256
Zr 0.667 0.333 0.744

Output
**Energy**: -27.07 eV/cell
**Space-group type**: P-6m2



# 5
## Mg5Zr3 (PBE)

Data for a relaxed structure of Mg5Zr3.

a b c (Å): 3.218 3.218 17.608
angles (deg): 90.00 90.00 90.00
Fractional positions:
Mg 0.000 0.000 0.000
Mg 0.000 0.000 0.243
Mg 0.000 0.000 0.757
Mg 0.500 0.500 0.120
Mg 0.500 0.500 0.880
Zr 0.000 0.000 0.500
Zr 0.500 0.500 0.373
Zr 0.500 0.500 0.627

Output
**E above lowest polymorph**: 0 meV/atom
**Energy**: -33.62 eV/cell
**Space-group type**: P4/mmm



# 6
## MgZr3 (PBE)

Data for a relaxed structure of MgZr3.

a b c (Å): 5.523 10.402 6.335
angles (deg): 90.00 90.00 90.00
Fractional positions:
Mg 0.082 0.250 0.135
Mg 0.418 0.750 0.635
Mg 0.582 0.250 0.365
Mg 0.918 0.750 0.865
Zr 0.052 0.250 0.649
Zr 0.245 0.505 0.882
Zr 0.245 0.995 0.882
Zr 0.255 0.005 0.382
Zr 0.255 0.495 0.382
Zr 0.448 0.750 0.149
Zr 0.552 0.250 0.851
Zr 0.745 0.505 0.618
Zr 0.745 0.995 0.618
Zr 0.755 0.005 0.118
Zr 0.755 0.495 0.118
Zr 0.948 0.750 0.351

Output
**Energy**: -107.95 eV/cell
**Space-group type**: Pnma



# 7
## MgZr4 (PBE)

Data for a relaxed structure of MgZr4.

a b c (Å): 5.074 5.074 5.074
angles (deg): 90.00 90.00 90.00
Fractional positions:
Mg 0.000 0.000 0.000
Zr 0.000 0.000 0.500
Zr 0.000 0.500 0.000
Zr 0.500 0.000 0.000
Zr 0.500 0.500 0.500

Output
**E above lowest polymorph**: 1063 meV/atom
**Energy**: -30.29 eV/cell
**Space-group type**: Pm-3m



# 8
## MgZr2 (PBE)

Data for a relaxed structure of MgZr2.

a b c (Å): 6.335 4.505 9.489
angles (deg): 90.00 90.00 90.00
Fractional positions:
Mg 0.111 0.250 0.081
Mg 0.389 0.750 0.581
Mg 0.611 0.250 0.419
Mg 0.889 0.750 0.919
Zr 0.103 0.250 0.414
Zr 0.145 0.250 0.745
Zr 0.355 0.750 0.245
Zr 0.397 0.750 0.914
Zr 0.603 0.250 0.086
Zr 0.645 0.250 0.755
Zr 0.855 0.750 0.255
Zr 0.897 0.750 0.586

Output
**Energy**: -74.32 eV/cell
**Space-group type**: Pnma



# 9
## MgZr (PBE)

Data for a relaxed structure of MgZr.

a b c (Å): 2.994 2.994 5.495
angles (deg): 90.00 90.00 114.69
Fractional positions:
Mg 0.000 0.000 0.000
Zr 0.500 0.500 0.500

Output
**Energy**: -9.99 eV/cell
**Space-group type**: Cmmm



# 10
## MgZr2 (PBE)

Data for a relaxed structure of MgZr2.

a b c (Å): 5.870 5.870 5.870
angles (deg): 60.00 60.00 60.00
Fractional positions:
Mg 0.125 0.125 0.125
Mg 0.875 0.875 0.875
Zr 0.000 0.500 0.500
Zr 0.500 0.000 0.500
Zr 0.500 0.500 0.000
Zr 0.500 0.500 0.500

Output
**Energy**: -35.80 eV/cell
**Space-group type**: Fd-3m



# 11
## MgZr (PBE)

Data for a relaxed structure of MgZr.

a b c (Å): 8.128 8.128 8.128
angles (deg): 109.47 109.47 109.47
Fractional positions:
Mg 0.000 0.000 0.609
Mg 0.000 0.609 0.000
Mg 0.391 0.391 0.391
Mg 0.609 0.000 0.000
Zr 0.000 0.000 0.215
Zr 0.000 0.215 0.000
Zr 0.215 0.000 0.000
Zr 0.785 0.785 0.785

Output
**Energy**: -30.53 eV/cell
**Space-group type**: I-43m



# 12
## Mg2Zr (PBE)

Data for a relaxed structure of Mg2Zr.

a b c (Å): 6.913 6.913 6.913
angles (deg): 153.27 153.27 38.16
Fractional positions:
Mg 0.167 0.167 0.000
Mg 0.833 0.833 0.000
Zr 0.500 0.500 0.000

Output
**Energy**: -11.73 eV/cell
**Space-group type**: I4/mmm